No. 1
VASP calculation (GGA-PBE) on a relaxed structure of TaMnAg3. Values from VASP.

Values from the calculation:
E above lowest polymorph ... 0.402 eV/atom
Energy relative to the elements ... 2200 meV per atom

Geometry as Quantum ESPRESSO input:
```
&SYSTEM
  ibrav = 0, nat = 5, ntyp = 3
/
ATOMIC_SPECIES
Ta 180.95 Ta.upf
Mn 54.94 Mn.upf
Ag 107.87 Ag.upf
ATOMIC_POSITIONS crystal
Ta 0.0000 0.0000 0.0000
Mn 0.5000 0.5000 0.5000
Ag 0.0000 0.0000 0.5000
Ag 0.0000 0.5000 0.0000
Ag 0.5000 0.0000 0.0000
CELL_PARAMETERS angstrom
5.0605 0.0000 0.0000
0.0000 5.0605 0.0000
0.0000 0.0000 5.0605
```

No. 2
VASP calculation (GGA-PBE) on a relaxed structure of TaMnAg2. Values from VASP.

Values from the calculation:
E above lowest polymorph ... 0.164 eV/atom
Energy relative to the elements ... 364 meV per atom

Geometry as Quantum ESPRESSO input:
```
&SYSTEM
  ibrav = 0, nat = 4, ntyp = 3
/
ATOMIC_SPECIES
Ta 180.95 Ta.upf
Mn 54.94 Mn.upf
Ag 107.87 Ag.upf
ATOMIC_POSITIONS crystal
Ta 0.0000 0.0000 0.0000
Mn 0.5000 0.5000 0.5000
Ag 0.2463 0.2463 0.2463
Ag 0.7537 0.7537 0.7537
CELL_PARAMETERS angstrom
1.4402 0.8315 9.5607
-1.4402 0.8315 9.5607
0.0000 -1.6630 9.5607
```

No. 3
VASP calculation (GGA-PBE) on a relaxed structure of TaMn2Ag. Values from VASP.

Values from the calculation:
E above lowest polymorph ... 0.073 eV/atom
Energy relative to the elements ... 255 meV per atom

Geometry as Quantum ESPRESSO input:
```
&SYSTEM
  ibrav = 0, nat = 4, ntyp = 3
/
ATOMIC_SPECIES
Ta 180.95 Ta.upf
Mn 54.94 Mn.upf
Ag 107.87 Ag.upf
ATOMIC_POSITIONS crystal
Ta 0.0000 0.0000 0.0000
Mn 0.5000 0.5000 0.2461
Mn 0.5000 0.5000 0.7539
Ag 0.0000 0.0000 0.5000
CELL_PARAMETERS angstrom
2.8726 0.0000 0.0000
0.0000 2.8726 0.0000
0.0000 0.0000 7.7255
```